1.
## HfHgSb (GGA-PBE)

Data for a relaxed HfHgSb crystal.

Calculated values
**Total magnetic moment**: 0.000 μB per atom
**Raw formation energy**: -0.009 eV per atom

abc: 15.2059 3.3057 5.7033
angles: 90.00 90.00 90.00
Space group Amm2 (No. 38)
Asymmetric unit:
Hf (0.0000, 0.0000, 0.0000) (multiplicity 2)
Hf (0.5000, 0.0000, 0.0607) (multiplicity 2)
Hg (0.3433, 0.0000, 0.7260) (multiplicity 4)
Sb (0.1564, 0.0000, 0.3289) (multiplicity 4)


2.
## HfHgSb3 (GGA-PBE)

Data for a relaxed HfHgSb3 crystal.

Calculated values
**Total magnetic moment**: 0.000 μB per atom
**Raw formation energy**: 0.208 eV per atom

abc: 5.5225 5.5225 5.5225
angles: 90.00 90.00 90.00
Space group Pm-3m (No. 221)
Asymmetric unit:
Hf (0.0000, 0.0000, 0.0000) (multiplicity 1)
Hg (0.5000, 0.5000, 0.5000) (multiplicity 1)
Sb (0.0000, 0.0000, 0.5000) (multiplicity 3)


3.
## HfHg3Sb (GGA-PBE)

Data for a relaxed HfHg3Sb crystal.

Calculated values
**Total magnetic moment**: 0.000 μB per atom
**Raw formation energy**: 0.690 eV per atom

abc: 5.4829 5.4829 5.4829
angles: 90.00 90.00 90.00
Space group Pm-3m (No. 221)
Asymmetric unit:
Hf (0.0000, 0.0000, 0.0000) (multiplicity 1)
Hg (0.0000, 0.0000, 0.5000) (multiplicity 3)
Sb (0.5000, 0.5000, 0.5000) (multiplicity 1)


4.
## Hf2HgSb4 (GGA-PBE)

Data for a relaxed Hf2HgSb4 crystal.

Calculated values
**Total magnetic moment**: 0.000 μB per atom
**Raw formation energy**: 0.457 eV per atom

abc: 5.4067 5.4067 15.1716
angles: 90.00 90.00 90.00
Space group I4/mmm (No. 139)
Asymmetric unit:
Hf (0.0000, 0.0000, 0.0963) (multiplicity 4)
Hg (0.0000, 0.0000, 0.5000) (multiplicity 2)
Sb (0.0000, 0.0000, 0.2807) (multiplicity 4)
Sb (0.0000, 0.5000, 0.0000) (multiplicity 4)


5.
## Hf3HgSb (GGA-PBE)

Data for a relaxed Hf3HgSb crystal.

Calculated values
**Total magnetic moment**: 0.000 μB per atom
**Raw formation energy**: -0.140 eV per atom

abc: 15.0319 5.6040 10.5677
angles: 90.00 100.98 90.00
Space group C2/c (No. 15)
Asymmetric unit:
Hf (0.0517, 0.2464, 0.0145) (multiplicity 8)
Hf (0.0996, 0.0201, 0.7717) (multiplicity 8)
Hf (0.2033, 0.4677, 0.2635) (multiplicity 8)
Hg (0.1488, 0.2464, 0.5240) (multiplicity 8)
Sb (0.0000, 0.4870, 0.2500) (multiplicity 4)
Sb (0.2500, 0.2500, 0.0000) (multiplicity 4)


6.
## Hf2Hg2Sb (GGA-PBE)

Data for a relaxed Hf2Hg2Sb crystal.

Calculated values
**Total magnetic moment**: 0.000 μB per atom
**Raw formation energy**: -0.061 eV per atom

abc: 7.3984 7.3984 4.3299
angles: 90.00 90.00 90.00
Space group P4/mbm (No. 127)
Asymmetric unit:
Hf (0.1524, 0.3476, 0.0000) (multiplicity 4)
Hg (0.1475, 0.6475, 0.5000) (multiplicity 4)
Sb (0.0000, 0.0000, 0.0000) (multiplicity 2)


7.
## Hf6HgSb (GGA-PBE)

Data for a relaxed Hf6HgSb crystal.

Calculated values
**Total magnetic moment**: 0.000 μB per atom
**Raw formation energy**: -0.130 eV per atom

abc: 4.1105 9.0511 9.4811
angles: 90.00 90.00 90.00
Space group Amm2 (No. 38)
Asymmetric unit:
Hf (0.0000, 0.0000, 0.0000) (multiplicity 2)
Hf (0.0000, 0.2453, 0.2659) (multiplicity 4)
Hf (0.5000, 0.0000, 0.7694) (multiplicity 2)
Hf (0.5000, 0.2461, 0.5119) (multiplicity 4)
Hg (0.5000, 0.0000, 0.2375) (multiplicity 2)
Sb (0.0000, 0.0000, 0.5309) (multiplicity 2)


8.
## HfHgSb3 (GGA-PBE)

Data for a relaxed HfHgSb3 crystal.

Calculated values
**Total magnetic moment**: 0.000 μB per atom
**Raw formation energy**: 1.062 eV per atom

abc: 5.4090 5.4090 5.4090
angles: 90.00 90.00 90.00
Space group Pm-3m (No. 221)
Asymmetric unit:
Hf (0.0000, 0.0000, 0.0000) (multiplicity 1)
Hg (0.5000, 0.5000, 0.5000) (multiplicity 1)
Sb (0.0000, 0.5000, 0.5000) (multiplicity 3)


9.
## Hf3HgSb (GGA-PBE)

Data for a relaxed Hf3HgSb crystal.

Calculated values
**Total magnetic moment**: 0.000 μB per atom
**Raw formation energy**: 0.898 eV per atom

abc: 5.2150 5.2150 5.2150
angles: 90.00 90.00 90.00
Space group Pm-3m (No. 221)
Asymmetric unit:
Hf (0.0000, 0.0000, 0.5000) (multiplicity 3)
Hg (0.5000, 0.5000, 0.5000) (multiplicity 1)
Sb (0.0000, 0.0000, 0.0000) (multiplicity 1)


10.
## HfHgSbTe2 (GGA-PBE)

Data for a relaxed HfHgSbTe2 crystal.

Calculated values
**Total magnetic moment**: 0.000 μB per atom
**Raw formation energy**: -0.019 eV per atom

abc: 5.5408 5.5408 5.6577
angles: 90.00 90.00 90.00
Space group P4/mmm (No. 123)
Asymmetric unit:
Hf (0.0000, 0.0000, 0.0000) (multiplicity 1)
Hg (0.5000, 0.5000, 0.5000) (multiplicity 1)
Sb (0.0000, 0.0000, 0.5000) (multiplicity 1)
Te (0.0000, 0.5000, 0.0000) (multiplicity 2)


11.
## HfHgSb2Te (GGA-PBE)

Data for a relaxed HfHgSb2Te crystal.

Calculated values
**Total magnetic moment**: 0.000 μB per atom
**Raw formation energy**: 1.020 eV per atom

abc: 5.3991 5.3991 5.5038
angles: 90.00 90.00 90.00
Space group P4/mmm (No. 123)
Asymmetric unit:
Hf (0.0000, 0.0000, 0.0000) (multiplicity 1)
Hg (0.5000, 0.5000, 0.5000) (multiplicity 1)
Sb (0.0000, 0.5000, 0.5000) (multiplicity 2)
Te (0.5000, 0.5000, 0.0000) (multiplicity 1)


12.
## HfHgSbTe2 (GGA-PBE)

Data for a relaxed HfHgSbTe2 crystal.

Calculated values
**Total magnetic moment**: 0.000 μB per atom
**Raw formation energy**: 0.951 eV per atom

abc: 5.4598 5.4598 5.4360
angles: 90.00 90.00 90.00
Space group P4/mmm (No. 123)
Asymmetric unit:
Hf (0.0000, 0.0000, 0.0000) (multiplicity 1)
Hg (0.5000, 0.5000, 0.5000) (multiplicity 1)
Sb (0.5000, 0.5000, 0.0000) (multiplicity 1)
Te (0.0000, 0.5000, 0.5000) (multiplicity 2)


13.
## HfHgSb2Te (GGA-PBE)

Data for a relaxed HfHgSb2Te crystal.

Calculated values
**Total magnetic moment**: 0.000 μB per atom
**Raw formation energy**: 0.114 eV per atom

abc: 5.5741 5.5741 5.5155
angles: 90.00 90.00 90.00
Space group P4/mmm (No. 123)
Asymmetric unit:
Hf (0.0000, 0.0000, 0.0000) (multiplicity 1)
Hg (0.5000, 0.5000, 0.5000) (multiplicity 1)
Sb (0.0000, 0.5000, 0.0000) (multiplicity 2)
Te (0.0000, 0.0000, 0.5000) (multiplicity 1)


14.
## YHf2HgSb (GGA-PBE)

Data for a relaxed YHf2HgSb crystal.

Calculated values
**Total magnetic moment**: 0.000 μB per atom
**Raw formation energy**: 1.209 eV per atom

abc: 5.3292 5.3292 5.5336
angles: 90.00 90.00 90.00
Space group P4/mmm (No. 123)
Asymmetric unit:
Y (0.0000, 0.0000, 0.0000) (multiplicity 1)
Hf (0.0000, 0.5000, 0.0000) (multiplicity 2)
Hg (0.5000, 0.5000, 0.5000) (multiplicity 1)
Sb (0.0000, 0.0000, 0.5000) (multiplicity 1)


15.
## Hf2ScHg2 (GGA-PBE)

Data for a relaxed Hf2ScHg2 crystal.

Calculated values
**Total magnetic moment**: 0.194 μB per atom
**Energy relative to the elements**: 0.125 eV per atom

abc: 8.5615 8.5615 3.0944
angles: 90.00 90.00 90.00
Space group P4/mbm (No. 127)
Asymmetric unit:
Hf (0.1222, 0.3778, 0.0000) (multiplicity 4)
Sc (0.0000, 0.0000, 0.0000) (multiplicity 2)
Hg (0.1753, 0.6753, 0.5000) (multiplicity 4)


16.
## HfSc5Hg4 (GGA-PBE)

Data for a relaxed HfSc5Hg4 crystal.

Calculated values
**Total magnetic moment**: 0.023 μB per atom
**Energy relative to the elements**: -0.333 eV per atom

abc: 3.3816 3.3816 19.2965
angles: 90.00 90.00 90.00
Space group P4/mmm (No. 123)
Asymmetric unit:
Hf (0.0000, 0.0000, 0.0000) (multiplicity 1)
Sc (0.5000, 0.5000, 0.1071) (multiplicity 2)
Sc (0.5000, 0.5000, 0.3062) (multiplicity 2)
Sc (0.5000, 0.5000, 0.5000) (multiplicity 1)
Hg (0.0000, 0.0000, 0.2062) (multiplicity 2)
Hg (0.0000, 0.0000, 0.4034) (multiplicity 2)


17.
## HfScHg (GGA-PBE)

Data for a relaxed HfScHg crystal.

Calculated values
**Total magnetic moment**: 0.000 μB per atom
**Energy relative to the elements**: -0.211 eV per atom

abc: 3.2500 3.2500 12.5072
angles: 90.00 90.00 90.00
Space group I4mm (No. 107)
Asymmetric unit:
Hf (0.0000, 0.0000, 0.0000) (multiplicity 2)
Sc (0.0000, 0.0000, 0.3327) (multiplicity 2)
Hg (0.0000, 0.0000, 0.6675) (multiplicity 2)


18.
## HfScHg (GGA-PBE)

Data for a relaxed HfScHg crystal.

Calculated values
**Total magnetic moment**: 0.000 μB per atom
**Energy relative to the elements**: -0.205 eV per atom

abc: 3.2352 4.6143 9.1164
angles: 90.00 99.79 90.00
Space group P2_1/m (No. 11)
Asymmetric unit:
Hf (0.2162, 0.2500, 0.4305) (multiplicity 2)
Sc (0.3858, 0.2500, 0.7738) (multiplicity 2)
Hg (0.0520, 0.2500, 0.0991) (multiplicity 2)


19.
## HfSc4Hg5 (GGA-PBE)

Data for a relaxed HfSc4Hg5 crystal.

Calculated values
**Total magnetic moment**: 0.060 μB per atom
**Energy relative to the elements**: -0.335 eV per atom

abc: 3.5178 3.5178 17.5203
angles: 90.00 90.00 90.00
Space group P4/mmm (No. 123)
Asymmetric unit:
Hf (0.0000, 0.0000, 0.0000) (multiplicity 1)
Sc (0.0000, 0.0000, 0.1984) (multiplicity 2)
Sc (0.0000, 0.0000, 0.3992) (multiplicity 2)
Hg (0.5000, 0.5000, 0.1000) (multiplicity 2)
Hg (0.5000, 0.5000, 0.2987) (multiplicity 2)
Hg (0.5000, 0.5000, 0.5000) (multiplicity 1)


20.
## HfSc2Hg3 (GGA-PBE)

Data for a relaxed HfSc2Hg3 crystal.

Calculated values
**Total magnetic moment**: 0.079 μB per atom
**Energy relative to the elements**: -0.274 eV per atom

abc: 3.5110 3.5110 10.5042
angles: 90.00 90.00 90.00
Space group P4/mmm (No. 123)
Asymmetric unit:
Hf (0.0000, 0.0000, 0.0000) (multiplicity 1)
Sc (0.0000, 0.0000, 0.3324) (multiplicity 2)
Hg (0.5000, 0.5000, 0.1669) (multiplicity 2)
Hg (0.5000, 0.5000, 0.5000) (multiplicity 1)


21.
## HfScHg3 (GGA-PBE)

Data for a relaxed HfScHg3 crystal.

Calculated values
**Total magnetic moment**: 0.039 μB per atom
**Energy relative to the elements**: 0.663 eV per atom

abc: 5.3655 5.3655 5.3655
angles: 90.00 90.00 90.00
Space group Pm-3m (No. 221)
Asymmetric unit:
Hf (0.0000, 0.0000, 0.0000) (multiplicity 1)
Sc (0.5000, 0.5000, 0.5000) (multiplicity 1)
Hg (0.0000, 0.0000, 0.5000) (multiplicity 3)


22.
## HfSc2Hg6 (GGA-PBE)

Data for a relaxed HfSc2Hg6 crystal.

Calculated values
**Total magnetic moment**: 0.000 μB per atom
**Energy relative to the elements**: -0.140 eV per atom

abc: 13.8413 11.2217 5.2177
angles: 90.00 100.25 90.00
Space group C2/c (No. 15)
Asymmetric unit:
Hf (0.0000, 0.1110, 0.2500) (multiplicity 4)
Sc (0.1652, 0.3762, 0.0825) (multiplicity 8)
Hg (0.0554, 0.3713, 0.5257) (multiplicity 8)
Hg (0.1125, 0.1297, 0.8058) (multiplicity 8)
Hg (0.2221, 0.1246, 0.3600) (multiplicity 8)


23.
## Hf2Sc2Hg (GGA-PBE)

Data for a relaxed Hf2Sc2Hg crystal.

Calculated values
**Total magnetic moment**: 0.000 μB per atom
**Energy relative to the elements**: 0.155 eV per atom

abc: 7.4432 7.4432 4.2982
angles: 90.00 90.00 90.00
Space group P4/mbm (No. 127)
Asymmetric unit:
Hf (0.1402, 0.3598, 0.0000) (multiplicity 4)
Sc (0.1515, 0.6515, 0.5000) (multiplicity 4)
Hg (0.0000, 0.0000, 0.0000) (multiplicity 2)


24.
## HfScHg (GGA-PBE)

Data for a relaxed HfScHg crystal.

Calculated values
**Total magnetic moment**: 0.000 μB per atom
**Energy relative to the elements**: 0.037 eV per atom

abc: 4.9452 4.9452 3.2239
angles: 90.00 90.00 120.00
Space group P3m1 (No. 156)
Asymmetric unit:
Hf (0.0000, 0.0000, 0.0000) (multiplicity 1)
Sc (0.6667, 0.3333, 0.4978) (multiplicity 1)
Hg (0.3333, 0.6667, 0.9911) (multiplicity 1)


25.
## Hf2ScHg2 (GGA-PBE)

Data for a relaxed Hf2ScHg2 crystal.

Calculated values
**Total magnetic moment**: 0.000 μB per atom
**Energy relative to the elements**: 0.001 eV per atom

abc: 7.5786 7.5786 3.8850
angles: 90.00 90.00 90.00
Space group P4/mbm (No. 127)
Asymmetric unit:
Hf (0.1726, 0.3274, 0.0000) (multiplicity 4)
Sc (0.0000, 0.0000, 0.5000) (multiplicity 2)
Hg (0.1321, 0.6321, 0.5000) (multiplicity 4)